No. 1
# Mg2ReSnN4 (PBE, optimized geometry)
# - space-group type = No. 8
# - ΔE_f (raw) (meV/atom) = -227
# - mass density (g/cm³) = 5.77
# - total magnetization (μB/atom) = 0.00
data_Mg2ReSnN4
_space_group_name_H-M_alt 'P 1'
_space_group_IT_number 1
_space_group_name_Hall 'P 1'
_cell_length_a 5.2392
_cell_length_b 5.2392
_cell_length_c 5.6695
_cell_angle_alpha 117.47
_cell_angle_beta 117.47
_cell_angle_gamma 90.21
loop_
_atom_site_label
_atom_site_type_symbol
_atom_site_fract_x
_atom_site_fract_y
_atom_site_fract_z
Sn1 Sn 0.0010 0.0010 0.0022
N1 N 0.8308 0.4242 0.2557
N2 N 0.1676 0.1676 0.7421
Mg1 Mg 0.2502 0.7499 0.5003
Mg2 Mg 0.7499 0.2502 0.5003
N3 N 0.5765 0.5765 0.7443
N4 N 0.4242 0.8308 0.2557
Re1 Re 0.5001 0.5001 0.0001

No. 2
# AcPm2Te (PBE, optimized geometry)
# - space-group type = No. 166
# - ΔE_f (raw) (meV/atom) = -362
# - mass density (g/cm³) = 6.84
# - total magnetization (μB/atom) = 0.06
# - relative energy among the computed polymorphs (eV per atom) = 0.259
data_AcPm2Te
_space_group_name_H-M_alt 'P 1'
_space_group_IT_number 1
_space_group_name_Hall 'P 1'
_cell_length_a 4.0008
_cell_length_b 4.0008
_cell_length_c 11.5176
_cell_angle_alpha 80.00
_cell_angle_beta 80.00
_cell_angle_gamma 60.00
loop_
_atom_site_label
_atom_site_type_symbol
_atom_site_fract_x
_atom_site_fract_y
_atom_site_fract_z
Ac1 Ac 0.0000 0.0000 0.0000
Pm1 Pm 0.1069 0.1069 0.6793
Te1 Te 0.5000 0.5000 0.5000
Pm2 Pm 0.8931 0.8931 0.3207

No. 3
# CaTiSeBr2 (PBE, optimized geometry)
# - space-group type = No. 123
# - ΔE_f (raw) (meV/atom) = -487
# - mass density (g/cm³) = 3.30
# - total magnetization (μB/atom) = 0.40
# - relative energy among the computed polymorphs (eV per atom) = 0.547
data_CaTiSeBr2
_space_group_name_H-M_alt 'P 1'
_space_group_IT_number 1
_space_group_name_Hall 'P 1'
_cell_length_a 5.3574
_cell_length_b 5.3574
_cell_length_c 5.7361
_cell_angle_alpha 90.00
_cell_angle_beta 90.00
_cell_angle_gamma 90.00
loop_
_atom_site_label
_atom_site_type_symbol
_atom_site_fract_x
_atom_site_fract_y
_atom_site_fract_z
Se1 Se 0.0000 0.0000 0.5000
Br1 Br 0.0000 0.5000 0.0000
Ti1 Ti 0.5000 0.5000 0.5000
Ca1 Ca 0.0000 0.0000 0.0000
Br2 Br 0.5000 0.0000 0.0000

No. 4
# TbTmPu2S4 (PBE, optimized geometry)
# - space-group type = No. 10
# - ΔE_f (raw) (meV/atom) = -1891
# - mass density (g/cm³) = 9.20
# - total magnetization (μB/atom) = 0.01
data_TbTmPu2S4
_space_group_name_H-M_alt 'P 1'
_space_group_IT_number 1
_space_group_name_Hall 'P 1'
_cell_length_a 3.9147
_cell_length_b 6.8382
_cell_length_c 6.7549
_cell_angle_alpha 109.49
_cell_angle_beta 90.00
_cell_angle_gamma 90.00
loop_
_atom_site_label
_atom_site_type_symbol
_atom_site_fract_x
_atom_site_fract_y
_atom_site_fract_z
Pu1 Pu 0.0000 0.5000 0.5000
Tb1 Tb 0.5000 0.5000 0.0000
Tm1 Tm 0.0000 0.0000 0.0000
S1 S 0.5000 0.7550 0.7570
S2 S 0.0000 0.7528 0.2458
S3 S 0.5000 0.2450 0.2430
S4 S 0.0000 0.2472 0.7542
Pu2 Pu 0.5000 0.0000 0.5000

No. 5
# TbHoEr4 (PBE, optimized geometry)
# - space-group type = No. 216
# - ΔE_f (eV/atom) = 0.2740
# - mass density (g/cm³) = 8.50
# - total magnetization (μB/atom) = 0.14
# - relative energy among the computed polymorphs (eV per atom) = 0.197
data_TbHoEr4
_space_group_name_H-M_alt 'P 1'
_space_group_IT_number 1
_space_group_name_Hall 'P 1'
_cell_length_a 6.4965
_cell_length_b 6.4965
_cell_length_c 6.4965
_cell_angle_alpha 60.00
_cell_angle_beta 60.00
_cell_angle_gamma 60.00
loop_
_atom_site_label
_atom_site_type_symbol
_atom_site_fract_x
_atom_site_fract_y
_atom_site_fract_z
Tb1 Tb 0.2500 0.2500 0.2500
Er1 Er 0.6251 0.6251 0.1248
Ho1 Ho 0.0000 0.0000 0.0000
Er2 Er 0.6251 0.1248 0.6251
Er3 Er 0.6251 0.6251 0.6251
Er4 Er 0.1248 0.6251 0.6251

No. 6
# CaNd2YTe4 (PBE, optimized geometry)
# - space-group type = No. 10
# - ΔE_f (raw) (meV/atom) = -1441
# - mass density (g/cm³) = 6.13
# - total magnetization (μB/atom) = 0.00
data_CaNd2YTe4
_space_group_name_H-M_alt 'P 1'
_space_group_IT_number 1
_space_group_name_Hall 'P 1'
_cell_length_a 4.4195
_cell_length_b 7.8003
_cell_length_c 7.7013
_cell_angle_alpha 71.14
_cell_angle_beta 90.00
_cell_angle_gamma 90.00
loop_
_atom_site_label
_atom_site_type_symbol
_atom_site_fract_x
_atom_site_fract_y
_atom_site_fract_z
Ca1 Ca 0.5000 0.5000 0.0000
Nd1 Nd 0.5000 0.0000 0.5000
Te1 Te 0.0000 0.7413 0.7511
Te2 Te 0.0000 0.2587 0.2489
Nd2 Nd 0.0000 0.0000 0.0000
Y1 Y 0.0000 0.5000 0.5000
Te3 Te 0.5000 0.2604 0.7457
Te4 Te 0.5000 0.7396 0.2543

No. 7
# MgPaCd2 (PBE, optimized geometry)
# - space-group type = No. 225
# - ΔE_f (eV/atom) = 0.1271
# - mass density (g/cm³) = 8.34
# - total magnetization (μB/atom) = 0.26
# - relative energy among the computed polymorphs (eV per atom) = 0.141
data_MgPaCd2
_space_group_name_H-M_alt 'P 1'
_space_group_IT_number 1
_space_group_name_Hall 'P 1'
_cell_length_a 5.1329
_cell_length_b 5.1329
_cell_length_c 5.1329
_cell_angle_alpha 60.00
_cell_angle_beta 60.00
_cell_angle_gamma 60.00
loop_
_atom_site_label
_atom_site_type_symbol
_atom_site_fract_x
_atom_site_fract_y
_atom_site_fract_z
Mg1 Mg 0.5000 0.5000 0.5000
Pa1 Pa 0.0000 0.0000 0.0000
Cd1 Cd 0.2500 0.2500 0.2500
Cd2 Cd 0.7500 0.7500 0.7500

No. 8
# Y6Cd3Hg (PBE, optimized geometry)
# - space-group type = No. 11
# - ΔE_f (eV/atom) = -0.2783
# - mass density (g/cm³) = 6.46
# - total magnetization (μB/atom) = 0.00
data_Y6Cd3Hg
_space_group_name_H-M_alt 'P 1'
_space_group_IT_number 1
_space_group_name_Hall 'P 1'
_cell_length_a 5.3058
_cell_length_b 9.3518
_cell_length_c 11.7008
_cell_angle_alpha 108.40
_cell_angle_beta 90.00
_cell_angle_gamma 90.00
loop_
_atom_site_label
_atom_site_type_symbol
_atom_site_fract_x
_atom_site_fract_y
_atom_site_fract_z
Y1 Y 0.7500 0.8723 0.8402
Hg1 Hg 0.2500 0.9461 0.6080
Y2 Y 0.7500 0.5304 0.9072
Cd1 Cd 0.7500 0.2278 0.0270
Y3 Y 0.2500 0.6574 0.6770
Cd2 Cd 0.7500 0.6139 0.2191
Y4 Y 0.2500 0.8490 0.3207
Cd3 Cd 0.7500 0.4726 0.6223
Cd4 Cd 0.2500 0.5274 0.3777
Cd5 Cd 0.2500 0.3861 0.7809
Y5 Y 0.2500 0.1277 0.1598
Cd6 Cd 0.2500 0.7722 0.9730
Y6 Y 0.2500 0.4696 0.0928
Hg2 Hg 0.7500 0.0539 0.3920
Y7 Y 0.2500 0.2519 0.4965
Y8 Y 0.7500 0.7481 0.5035
Y9 Y 0.7500 0.1510 0.6793
Y10 Y 0.2500 0.1125 0.8750
Y11 Y 0.7500 0.3426 0.3230
Y12 Y 0.7500 0.8875 0.1250

The lowest mass density belongs to which entry?
CaTiSeBr2